Density functional theory data (PBE) for an optimized crystal structure of Re2PAu2.

abc: 7.310 7.310 7.310
angles: 151.59 151.59 40.62
Positions (direct):
Au1 0.750 0.250 0.500
Au2 0.250 0.750 0.500
Re1 0.414 0.414 0.000
Re2 0.586 0.586 0.000
P1 0.000 0.000 0.000

Calculated values
SG: I4/mmm, No. 139
E_form in eV/atom: 0.973


Density functional theory data (PBE) for an optimized crystal structure of Na2LaMo.

abc: 5.347 5.347 5.347
angles: 60.00 60.00 60.00
Positions (direct):
La1 0.500 0.500 0.500
Na1 0.750 0.750 0.750
Mo1 0.000 0.000 0.000
Na2 0.250 0.250 0.250

Calculated values
SG: Fm-3m, No. 225
E_form in eV/atom: 1.037


Density functional theory data (PBE) for an optimized crystal structure of Ba2Be2Ge.

abc: 7.045 7.045 5.077
angles: 90.00 90.00 90.00
Positions (direct):
Ge1 0.000 0.000 0.000
Be1 0.607 0.107 0.000
Ba1 0.304 0.196 0.500
Ba2 0.804 0.304 0.500
Ge2 0.500 0.500 0.000
Be2 0.393 0.893 0.000
Be3 0.107 0.393 0.000
Be4 0.893 0.607 0.000
Ba3 0.696 0.804 0.500
Ba4 0.196 0.696 0.500

Calculated values
SG: P4/mbm, No. 127
E_form in eV/atom: 0.255


Density functional theory data (PBE) for an optimized crystal structure of AcNd7Pb4.

abc: 6.146 10.027 7.663
angles: 80.16 66.36 72.15
Positions (direct):
Pb1 0.573 0.229 0.624
Pb2 0.706 0.673 0.915
Pb3 0.427 0.771 0.376
Nd1 0.676 0.409 0.239
Ac1 0.000 0.000 0.000
Nd2 0.212 0.110 0.465
Nd3 0.500 0.000 0.000
Nd4 0.788 0.890 0.535
Nd5 0.952 0.371 0.725
Nd6 0.324 0.591 0.761
Nd7 0.048 0.629 0.275
Pb4 0.294 0.327 0.085

Calculated values
SG: C2/m, No. 12
E_form in eV/atom: -0.158


Density functional theory data (PBE) for an optimized crystal structure of LiTlSnF4.

abc: 6.203 5.997 8.160
angles: 90.00 120.94 90.00
Positions (direct):
F1 0.937 0.000 0.784
Li1 0.723 0.250 0.719
F2 0.539 0.750 0.231
F3 0.494 0.250 0.451
F4 0.461 0.250 0.769
Li2 0.277 0.750 0.281
F5 0.937 0.500 0.784
Tl1 0.343 0.250 0.049
Sn1 0.144 0.250 0.433
F6 0.506 0.750 0.549
F7 0.063 0.500 0.216
F8 0.063 0.000 0.216
Tl2 0.657 0.750 0.951
Sn2 0.856 0.750 0.567

Calculated values
Energy in eV for the cell shown: -63.82
SG: P2_1/m, No. 11


Density functional theory data (PBE) for an optimized crystal structure of IrPtCl2.

abc: 3.110 3.110 9.874
angles: 90.00 90.00 125.38
Positions (direct):
Cl1 0.500 0.500 0.314
Pt1 0.500 0.500 0.734
Cl2 0.000 0.000 0.940
Ir1 0.000 0.000 0.511

Calculated values
Energy in eV for the cell shown: -17.22
SG: Cmm2, No. 35


Density functional theory data (PBE) for an optimized crystal structure of ScZn2Ga2Pt2.

abc: 4.386 4.414 7.453
angles: 107.66 90.00 119.79
Positions (direct):
Sc1 0.000 0.000 0.000
Ga1 0.868 0.737 0.601
Pt1 0.255 0.510 0.763
Pt2 0.745 0.490 0.237
Ga2 0.132 0.263 0.399
Zn1 0.391 0.782 0.174
Zn2 0.609 0.218 0.826

Calculated values
SG: C2/m, No. 12
E_form in eV/atom: -0.669


Density functional theory data (PBE) for an optimized crystal structure of Pr2CuSi3Pt4.

abc: 4.306 4.306 9.870
angles: 90.00 90.00 90.00
Positions (direct):
Si1 0.000 0.000 0.500
Pr1 0.500 0.000 0.260
Cu1 0.500 0.500 0.500
Pr2 0.000 0.500 0.740
Si2 0.000 0.500 0.128
Pt1 0.000 0.500 0.370
Pt2 0.500 0.500 0.000
Si3 0.500 0.000 0.872
Pt3 0.500 0.000 0.630
Pt4 0.000 0.000 0.000

Calculated values
Energy in eV for the cell shown: -64.12
SG: P-4m2, No. 115


Density functional theory data (PBE) for an optimized crystal structure of NaPmEuBi.

abc: 5.618 5.618 5.618
angles: 60.00 60.00 60.00
Positions (direct):
Bi1 0.750 0.750 0.750
Na1 0.250 0.250 0.250
Eu1 0.500 0.500 0.500
Pm1 0.000 0.000 0.000

Calculated values
SG: F-43m, No. 216
E_form in eV/atom: -0.325


Density functional theory data (PBE) for an optimized crystal structure of CuRuPt2.

abc: 3.862 2.750 6.082
angles: 63.08 90.00 90.00
Positions (direct):
Ru1 0.500 0.250 0.250
Pt1 0.000 0.002 0.000
Pt2 0.000 0.498 0.500
Cu1 0.500 0.750 0.750

Calculated values
SG: Pmmm, No. 47
E_form in eV/atom: -0.023


Density functional theory data (PBE) for an optimized crystal structure of Cd4HgBi.

abc: 5.084 9.077 7.251
angles: 90.00 73.56 90.00
Positions (direct):
Cd1 0.573 0.161 0.836
Cd2 0.944 0.840 0.621
Hg1 0.500 0.000 0.500
Bi1 0.500 0.500 0.000
Cd3 0.556 0.340 0.379
Cd4 0.056 0.160 0.379
Cd5 0.444 0.660 0.621
Cd6 0.927 0.661 0.164
Cd7 0.073 0.339 0.836
Bi2 0.000 0.000 0.000
Cd8 0.427 0.839 0.164
Hg2 0.000 0.500 0.500

Calculated values
SG: P2_1/c, No. 14
E_form in eV/atom: 0.055


Density functional theory data (PBE) for an optimized crystal structure of TbPr2Mg3.

abc: 3.867 3.867 11.671
angles: 90.00 90.00 90.00
Positions (direct):
Mg1 0.000 0.000 0.000
Pr1 0.500 0.500 0.171
Tb1 0.500 0.500 0.500
Mg2 0.000 0.000 0.658
Pr2 0.500 0.500 0.829
Mg3 0.000 0.000 0.342

Calculated values
SG: P4/mmm, No. 123
E_form in eV/atom: -0.104


Density functional theory data (PBE) for an optimized crystal structure of AcCdInPt3.

abc: 7.643 5.986 6.968
angles: 115.44 90.00 90.00
Positions (direct):
Pt1 0.750 0.846 0.692
Pt2 0.500 0.269 0.000
In1 0.250 0.367 0.735
Pt3 0.000 0.731 0.000
Pt4 0.000 0.269 0.000
Ac1 0.250 0.661 0.323
Pt5 0.250 0.154 0.308
Cd1 0.250 0.923 0.846
Cd2 0.750 0.077 0.154
In2 0.750 0.633 0.265
Ac2 0.750 0.339 0.677
Pt6 0.500 0.731 0.000

Calculated values
SG: Cmcm, No. 63
E_form in eV/atom: -0.478


Density functional theory data (PBE) for an optimized crystal structure of TlSnPb2O5.

abc: 3.387 9.233 10.040
angles: 90.00 90.00 100.57
Positions (direct):
O1 0.101 0.202 0.047
Sn1 0.212 0.425 0.995
O2 0.702 0.403 0.865
Pb1 0.880 0.761 0.793
O3 0.673 0.346 0.508
O4 0.327 0.654 0.008
O5 0.279 0.557 0.634
Pb2 0.847 0.693 0.172
Tl1 0.483 0.966 0.514
O6 0.525 0.050 0.295
Sn2 0.788 0.575 0.495
O7 0.899 0.798 0.547
Pb3 0.153 0.307 0.672
Pb4 0.120 0.239 0.293
O8 0.475 0.950 0.795
Tl2 0.517 0.034 0.014
O9 0.721 0.443 0.134
O10 0.298 0.597 0.365

Calculated values
Energy in eV for the cell shown: -96.05
SG: Cmc2_1, No. 36


Density functional theory data (PBE) for an optimized crystal structure of Sm2MnSi3Pt4.

abc: 4.248 4.248 10.009
angles: 90.00 90.00 90.00
Positions (direct):
Mn1 0.500 0.500 0.500
Si1 0.500 0.000 0.871
Pt1 0.500 0.500 0.000
Si2 0.000 0.000 0.500
Sm1 0.500 0.000 0.254
Pt2 0.500 0.000 0.635
Pt3 0.000 0.000 0.000
Sm2 0.000 0.500 0.746
Si3 0.000 0.500 0.129
Pt4 0.000 0.500 0.365

Calculated values
Energy in eV for the cell shown: -68.92
SG: P-4m2, No. 115


Density functional theory data (PBE) for an optimized crystal structure of Sn2SbI.

abc: 4.702 4.702 9.393
angles: 75.51 75.51 60.00
Positions (direct):
Sn1 0.112 0.112 0.664
Sn2 0.888 0.888 0.336
I1 0.000 0.000 0.000
Sb1 0.500 0.500 0.500

Calculated values
Energy in eV for the cell shown: -13.72
SG: R-3m, No. 166


Density functional theory data (PBE) for an optimized crystal structure of PuSc2Tl.

abc: 3.301 3.301 11.192
angles: 81.52 81.52 60.00
Positions (direct):
Pu1 0.000 0.000 0.000
Sc1 0.092 0.092 0.725
Tl1 0.500 0.500 0.500
Sc2 0.908 0.908 0.275

Calculated values
SG: R-3m, No. 166
E_form in eV/atom: 0.195


Density functional theory data (PBE) for an optimized crystal structure of TiTlI3.

abc: 4.585 8.842 9.226
angles: 96.24 90.00 105.02
Positions (direct):
I1 0.088 0.209 0.398
I2 0.644 0.320 0.733
Ti1 0.230 0.492 0.634
I3 0.776 0.586 0.455
Ti2 0.814 0.662 0.787
Tl1 0.430 0.892 0.311
I4 0.956 0.945 0.024
Tl2 0.614 0.262 0.111
I5 0.400 0.834 0.689
I6 0.268 0.568 0.966

Calculated values
Energy in eV for the cell shown: -35.68
SG: C2/m, No. 12


Density functional theory data (PBE) for an optimized crystal structure of PPt4Pb.

abc: 6.365 5.350 7.089
angles: 92.75 116.68 90.00
Positions (direct):
Pt1 0.670 0.379 0.193
Pt2 0.523 0.879 0.193
Pt3 0.897 0.877 0.617
Pt4 0.330 0.621 0.807
Pt5 0.477 0.121 0.807
Pt6 0.103 0.123 0.383
Pb1 0.837 0.750 0.000
P1 0.500 0.000 0.500
Pt7 0.720 0.377 0.617
Pt8 0.280 0.623 0.383
Pb2 0.163 0.250 0.000
P2 0.000 0.500 0.500

Calculated values
SG: C2/c, No. 15
E_form in eV/atom: -0.245


Density functional theory data (PBE) for an optimized crystal structure of Li4SnPt4.

abc: 4.104 6.094 6.094
angles: 83.49 70.32 70.32
Positions (direct):
Li1 0.679 0.642 0.000
Li2 0.321 0.358 0.000
Pt1 0.670 0.330 0.330
Pt2 0.000 0.330 0.670
Sn1 0.000 0.000 0.000
Li3 0.321 0.000 0.358
Pt3 0.000 0.670 0.330
Pt4 0.330 0.670 0.670
Li4 0.679 0.000 0.642

Calculated values
SG: I4/mmm, No. 139
E_form in eV/atom: -0.520


Density functional theory data (PBE) for an optimized crystal structure of HfSc2TlO.

abc: 4.559 4.559 4.327
angles: 90.00 90.00 90.00
Positions (direct):
O1 0.000 0.000 0.000
Hf1 0.000 0.000 0.500
Sc1 0.000 0.500 0.000
Sc2 0.500 0.000 0.000
Tl1 0.500 0.500 0.500

Calculated values
Energy in eV for the cell shown: -35.89
SG: P4/mmm, No. 123


Density functional theory data (PBE) for an optimized crystal structure of CrGa3Bi.

abc: 4.785 4.785 4.785
angles: 90.00 90.00 90.00
Positions (direct):
Ga1 0.500 0.000 0.000
Ga2 0.000 0.000 0.500
Cr1 0.000 0.000 0.000
Bi1 0.500 0.500 0.500
Ga3 0.000 0.500 0.000

Calculated values
SG: Pm-3m, No. 221
E_form in eV/atom: 0.435


Density functional theory data (PBE) for an optimized crystal structure of LaPmAl4.

abc: 5.709 5.709 5.709
angles: 60.00 60.00 60.00
Positions (direct):
La1 0.000 0.000 0.000
Al1 0.625 0.625 0.125
Al2 0.125 0.625 0.625
Al3 0.625 0.625 0.625
Al4 0.625 0.125 0.625
Pm1 0.250 0.250 0.250

Calculated values
SG: F-43m, No. 216
E_form in eV/atom: -0.496


Density functional theory data (PBE) for an optimized crystal structure of Hg4ClF.

abc: 5.977 5.977 8.399
angles: 89.96 89.96 90.39
Positions (direct):
F1 0.000 0.500 0.500
Hg1 0.337 0.762 0.500
Hg2 0.680 0.680 0.750
Hg3 0.762 0.337 0.000
Hg4 0.680 0.680 0.250
Hg5 0.320 0.320 0.250
Cl1 0.000 0.000 0.750
Cl2 0.000 0.000 0.250
Hg6 0.320 0.320 0.750
Hg7 0.663 0.238 0.500
F2 0.500 0.000 0.000
Hg8 0.238 0.663 0.000

Calculated values
Energy in eV for the cell shown: -14.90
SG: C2/c, No. 15